ScCoO2 | GGA+U | optimized geometry Values from VASP.

Values from the calculation:
polymorph energy (0 for the lowest one)	25.28	kcal/mol of atoms
electronic total energy	-23.30	eV/f.u.
symmetry	No. 216
calculated density	5.368	Mg/m³

Geometry as Quantum ESPRESSO input:
```
&SYSTEM
  ibrav = 0, nat = 4, ntyp = 3
/
ATOMIC_SPECIES
Co 58.93 Co.upf
O 16.00 O.upf
Sc 44.96 Sc.upf
CELL_PARAMETERS angstrom
0.0000 2.7597 2.7597
2.7597 0.0000 2.7597
2.7597 2.7597 0.0000
ATOMIC_POSITIONS crystal
Co 0.0000 0.0000 0.0000
O 0.2500 0.2500 0.2500
O 0.5000 0.5000 0.5000
Sc 0.7500 0.7500 0.7500
```